Material: CdHNO2
Method: DFT, meta-GGA SCAN
State: PBEsol geometry

It has space group P4/mmm (No. 123), with a = 4.191 Å, b = 4.191 Å, c = 4.490 Å, α = 90.00°, β = 90.00° and γ = 90.00°. The asymmetric unit holds Cd at (0.000, 0.000, 0.000), H at (0.500, 0.500, 0.500), N at (0.000, 0.000, 0.500) and O at (0.000, 0.500, 0.000).

As for the final energy: -0.705 Ry/atom. Its volume is 15.8 A^3/atom.